# 1
{
  "formula": "TlCoSe",
  "functional": "PBE",
  "state": "relaxed",
  "spacegroup": "No. 216",
  "magmom_total_mub_per_fu": 1.35,
  "lattice": [[0.000, 3.143, 3.143], [3.143, 0.000, 3.143], [3.143, 3.143, 0.000]],
  "species": ["Tl", "Co", "Se"],
  "fractional_positions": [[0.000, 0.000, 0.000], [0.750, 0.750, 0.750], [0.500, 0.500, 0.500]]
}

# 2
{
  "formula": "TlCo2Se",
  "functional": "PBE",
  "state": "relaxed",
  "spacegroup": "No. 71",
  "magmom_total_mub_per_fu": 2.91,
  "lattice": [[-1.881, 2.668, 3.460], [1.881, -2.668, 3.460], [1.881, 2.668, -3.460]],
  "species": ["Tl", "Co", "Co", "Se"],
  "fractional_positions": [[0.000, 0.000, 0.000], [0.298, 0.798, 0.500], [0.702, 0.202, 0.500], [0.500, 0.500, 0.000]]
}

# 3
{
  "formula": "TlCo2Se",
  "functional": "PBE",
  "state": "relaxed",
  "spacegroup": "No. 119",
  "magmom_total_mub_per_fu": 2.66,
  "lattice": [[-1.848, 1.848, 4.851], [1.848, -1.848, 4.851], [1.848, 1.848, -4.851]],
  "species": ["Tl", "Co", "Co", "Se"],
  "fractional_positions": [[0.000, 0.000, 0.000], [0.500, 0.500, 0.000], [0.750, 0.250, 0.500], [0.250, 0.750, 0.500]]
}

# 4
{
  "formula": "Tl3CoSe",
  "functional": "PBE",
  "state": "relaxed",
  "spacegroup": "No. 221",
  "magmom_total_mub_per_fu": 0.00,
  "lattice": [[5.076, 0.000, 0.000], [0.000, 5.076, 0.000], [0.000, 0.000, 5.076]],
  "species": ["Tl", "Tl", "Tl", "Co", "Se"],
  "fractional_positions": [[0.000, 0.000, 0.500], [0.000, 0.500, 0.000], [0.500, 0.000, 0.000], [0.000, 0.000, 0.000], [0.500, 0.500, 0.500]]
}

# 5
{
  "formula": "Tl4CoSe",
  "functional": "PBE",
  "state": "relaxed",
  "spacegroup": "No. 216",
  "magmom_total_mub_per_fu": 2.06,
  "lattice": [[0.000, 4.443, 4.443], [4.443, 0.000, 4.443], [4.443, 4.443, 0.000]],
  "species": ["Tl", "Tl", "Tl", "Tl", "Co", "Se"],
  "fractional_positions": [[0.125, 0.125, 0.125], [0.125, 0.125, 0.625], [0.125, 0.625, 0.125], [0.625, 0.125, 0.125], [0.750, 0.750, 0.750], [0.500, 0.500, 0.500]]
}

# 6
{
  "formula": "TlCo4Se",
  "functional": "PBE",
  "state": "relaxed",
  "spacegroup": "No. 216",
  "magmom_total_mub_per_fu": 7.32,
  "lattice": [[0.000, 3.533, 3.533], [3.533, 0.000, 3.533], [3.533, 3.533, 0.000]],
  "species": ["Tl", "Co", "Co", "Co", "Co", "Se"],
  "fractional_positions": [[0.000, 0.000, 0.000], [0.126, 0.625, 0.625], [0.625, 0.126, 0.625], [0.625, 0.625, 0.126], [0.625, 0.625, 0.625], [0.250, 0.250, 0.250]]
}

# 7
{
  "formula": "TlCo2Se",
  "functional": "PBE",
  "state": "relaxed",
  "spacegroup": "No. 123",
  "magmom_total_mub_per_fu": 1.93,
  "lattice": [[3.065, 0.000, 0.000], [0.000, 3.065, 0.000], [0.000, 0.000, 6.645]],
  "species": ["Tl", "Co", "Co", "Se"],
  "fractional_positions": [[0.000, 0.000, 0.000], [0.500, 0.500, 0.300], [0.500, 0.500, 0.700], [0.000, 0.000, 0.500]]
}

# 8
{
  "formula": "TlCo2Se",
  "functional": "PBE",
  "state": "relaxed",
  "spacegroup": "No. 44",
  "magmom_total_mub_per_fu": 0.00,
  "lattice": [[-1.594, 1.693, 6.072], [1.594, -1.693, 6.072], [1.594, 1.693, -6.072]],
  "species": ["Tl", "Co", "Co", "Se"],
  "fractional_positions": [[0.000, 0.000, 0.000], [0.194, 0.694, 0.500], [0.371, 0.371, 0.000], [0.743, 0.243, 0.500]]
}

These records have VASP energy values of -4.04, -4.51, -4.44, -3.40, -2.68, -5.25, -4.62, -4.73 eV/atom, in the order they appear.